Entry 1:
Compound: VCo2Hg4
Source: Alexandria
Functional: PBE
Structure: optimized geometry

Properties
DFT total energy in eV per atom: -2.696
ΔH_f (0 K) in eV per atom: 0.810
Crystal system: tetragonal

Lattice parameters (Å, degrees): 5.2340 5.2340 12.9698 90.00 90.00 90.00
Last column: nearest neighbours and their distance in Å.
Space group I4/mmm (No. 139)
Asymmetric unit:
V: 0.0000 0.0000 0.0000 x2  6 Hg 2.62-2.79
Co: 0.0000 0.0000 0.4184 x4  1 Co 2.12
Hg: 0.0000 0.0000 0.2154 x4  1 Co 2.63, 1 V 2.79
Hg: 0.0000 0.5000 0.0000 x4  2 V 2.62, 4 Co 2.82

***

Entry 2:
Compound: K3Ir
Source: Alexandria
Functional: PBE
Structure: optimized geometry

Properties
DFT total energy in eV per atom: -2.320
ΔH_f (0 K) in eV per atom: 0.718
Crystal system: tetragonal

Lattice parameters (Å, degrees): 5.5799 5.5799 7.9981 90.00 90.00 90.00
Last column: nearest neighbours and their distance in Å.
Space group I4/mmm (No. 139)
Asymmetric unit:
K: 0.0000 0.0000 0.0000 x2  8 K 3.43
K: 0.0000 0.5000 0.2500 x4  4 K 3.43, 4 Ir 3.43
Ir: 0.0000 0.0000 0.5000 x2  8 K 3.43